No. 1
{"formula": "LaZrCoRh2", "functional": "PBE", "state": "relaxed", "lattice": [[4.900, 0.000, 0.000], [0.000, 4.900, 0.000], [0.000, 0.000, 4.496]], "species": ["La", "Zr", "Co", "Rh", "Rh"], "fractional_positions": [[0.000, 0.000, 0.000], [0.500, 0.500, 0.500], [0.000, 0.000, 0.500], [0.000, 0.500, 0.000], [0.500, 0.000, 0.000]], "formation_energy_ev_per_atom": 0.92, "spacegroup": "No. 123", "crystal_system": "tetragonal", "dos_at_fermi_per_ev_fu": 5.0}

No. 2
{"formula": "Ba2Ni", "functional": "PBE", "state": "relaxed", "lattice": [[1.975, -10.026, 0.000], [1.975, 10.026, 0.000], [0.000, 0.000, 5.834]], "species": ["Ba", "Ba", "Ba", "Ba", "Ni", "Ni"], "fractional_positions": [[0.060, 0.940, 0.750], [0.185, 0.815, 0.250], [0.815, 0.185, 0.750], [0.940, 0.060, 0.250], [0.433, 0.567, 0.750], [0.567, 0.433, 0.250]], "formation_energy_ev_per_atom": 0.17, "spacegroup": "No. 63", "crystal_system": "orthorhombic", "dos_at_fermi_per_ev_fu": 3.0}